Record 1
{
  "formula": "Pa2Ga8Tc",
  "functional": "PBE",
  "state": "optimized geometry",
  "e_form_kj_per_mol_atoms": -33.3,
  "crystal_system": "tetragonal",
  "dft_energy_ev_per_fu": -57.4,
  "density_g_cm3": 8.7,
  "lattice_angstrom": [[-2.567, 3.212, -1.440], [-2.896, -2.940, -1.395], [-5.133, 0.346, 9.924]],
  "species": ["Pa", "Pa", "Ga", "Ga", "Ga", "Ga", "Ga", "Ga", "Ga", "Ga", "Tc"],
  "frac_coords": [[0.000, 0.000, 0.306], [0.000, 0.000, 0.694], [0.000, 0.500, 0.500], [0.500, 0.000, 0.500], [0.500, 0.500, 0.310], [0.500, 0.500, 0.690], [0.000, 0.500, 0.121], [0.500, 0.000, 0.121], [0.000, 0.500, 0.879], [0.500, 0.000, 0.879], [0.000, 0.000, 0.000]]
}

=====

Record 2
{
  "formula": "PaGaTc",
  "functional": "PBE",
  "state": "optimized geometry",
  "e_form_kj_per_mol_atoms": -25.1,
  "polymorph_energy_kj_per_mol_fu": 54.8,
  "crystal_system": "tetragonal",
  "dft_energy_ev_per_fu": -23.7,
  "density_g_cm3": 11.7,
  "lattice_angstrom": [[-1.340, 0.042, -2.917], [-2.707, -1.216, 1.226], [0.160, 5.673, 1.776]],
  "species": ["Pa", "Tc", "Ga"],
  "frac_coords": [[0.317, 0.317, 0.634], [0.654, 0.654, 0.308], [0.029, 0.029, 0.057]]
}

=====

Record 3
{
  "formula": "Pa2Ga2Tc",
  "functional": "PBE",
  "state": "optimized geometry",
  "e_form_kj_per_mol_atoms": -22.6,
  "crystal_system": "monoclinic",
  "dft_energy_ev_per_fu": -36.6,
  "density_g_cm3": 11.7,
  "lattice_angstrom": [[-1.567, 0.042, -4.227], [-3.136, -3.517, 3.532], [-0.554, 4.764, 0.253]],
  "species": ["Pa", "Pa", "Ga", "Ga", "Tc"],
  "frac_coords": [[0.199, 0.398, 0.766], [0.801, 0.602, 0.234], [0.539, 0.079, 0.303], [0.461, 0.921, 0.697], [0.000, 0.000, 0.000]]
}

=====

Record 4
{
  "formula": "Pa4Ga16Tc3",
  "functional": "PBE",
  "state": "optimized geometry",
  "e_form_kj_per_mol_atoms": -34.9,
  "crystal_system": "tetragonal",
  "dft_energy_ev_per_fu": -125.8,
  "density_g_cm3": 9.0,
  "lattice_angstrom": [[-2.902, -5.245, 1.589], [2.133, -2.737, -5.139], [9.122, -3.358, 5.574]],
  "species": ["Pa", "Pa", "Pa", "Pa", "Ga", "Ga", "Ga", "Ga", "Ga", "Ga", "Ga", "Ga", "Ga", "Ga", "Ga", "Ga", "Ga", "Ga", "Ga", "Ga", "Tc", "Tc", "Tc"],
  "frac_coords": [[0.500, 0.000, 0.804], [0.000, 0.500, 0.196], [0.000, 0.500, 0.804], [0.500, 0.000, 0.196], [0.000, 0.000, 0.775], [0.288, 0.288, 0.000], [0.500, 0.500, 0.803], [0.712, 0.288, 0.000], [0.500, 0.500, 0.197], [0.712, 0.712, 0.000], [0.000, 0.000, 0.225], [0.750, 0.750, 0.619], [0.750, 0.250, 0.381], [0.250, 0.250, 0.619], [0.250, 0.750, 0.381], [0.288, 0.712, 0.000], [0.750, 0.750, 0.381], [0.750, 0.250, 0.619], [0.250, 0.250, 0.381], [0.250, 0.750, 0.619], [0.000, 0.500, 0.500], [0.000, 0.000, 0.000], [0.500, 0.000, 0.500]]
}

=====

Record 5
{
  "formula": "Pa12GaTc6",
  "functional": "PBE",
  "state": "optimized geometry",
  "e_form_kj_per_mol_atoms": 16.1,
  "crystal_system": "trigonal",
  "dft_energy_ev_per_fu": -176.0,
  "density_g_cm3": 12.0,
  "lattice_angstrom": [[7.877, 0.101, 0.121], [-1.095, 7.801, 0.121], [-1.095, -1.275, 7.697]],
  "species": ["Pa", "Pa", "Pa", "Pa", "Pa", "Pa", "Pa", "Pa", "Pa", "Pa", "Pa", "Pa", "Ga", "Tc", "Tc", "Tc", "Tc", "Tc", "Tc"],
  "frac_coords": [[0.812, 0.600, 0.454], [0.454, 0.812, 0.600], [0.600, 0.454, 0.812], [0.188, 0.400, 0.546], [0.546, 0.188, 0.400], [0.400, 0.546, 0.188], [0.073, 0.961, 0.354], [0.039, 0.646, 0.927], [0.646, 0.927, 0.039], [0.927, 0.039, 0.646], [0.961, 0.354, 0.073], [0.354, 0.073, 0.961], [0.000, 0.000, 0.000], [0.666, 0.864, 0.362], [0.638, 0.334, 0.136], [0.136, 0.638, 0.334], [0.334, 0.136, 0.638], [0.362, 0.666, 0.864], [0.864, 0.362, 0.666]]
}

=====

Record 6
{
  "formula": "Pa4Ga12Tc",
  "functional": "PBE",
  "state": "optimized geometry",
  "e_form_kj_per_mol_atoms": -41.1,
  "crystal_system": "cubic",
  "dft_energy_ev_per_fu": -91.9,
  "density_g_cm3": 9.6,
  "lattice_angstrom": [[-4.003, 6.300, -0.438], [-3.482, -5.433, -3.777], [0.711, -2.008, 7.167]],
  "species": ["Pa", "Pa", "Pa", "Pa", "Ga", "Ga", "Ga", "Ga", "Ga", "Ga", "Ga", "Ga", "Ga", "Ga", "Ga", "Ga", "Tc"],
  "frac_coords": [[0.000, 0.000, 0.500], [0.500, 0.000, 0.000], [0.500, 0.500, 0.500], [0.000, 0.500, 0.000], [0.000, 0.294, 0.294], [0.000, 0.706, 0.706], [0.706, 0.706, 0.000], [0.294, 0.294, 0.000], [0.294, 0.000, 0.294], [0.706, 0.000, 0.706], [0.500, 0.250, 0.750], [0.500, 0.750, 0.250], [0.750, 0.250, 0.500], [0.250, 0.750, 0.500], [0.750, 0.500, 0.250], [0.250, 0.500, 0.750], [0.000, 0.000, 0.000]]
}

=====

Record 7
{
  "formula": "PaGaTc3",
  "functional": "PBE",
  "state": "optimized geometry",
  "e_form_kj_per_mol_atoms": -15.8,
  "crystal_system": "monoclinic",
  "dft_energy_ev_per_fu": -44.4,
  "density_g_cm3": 11.3,
  "lattice_angstrom": [[-2.346, -4.039, -0.271], [4.134, -2.608, 3.080], [-3.563, 0.752, 5.419]],
  "species": ["Pa", "Pa", "Ga", "Ga", "Tc", "Tc", "Tc", "Tc", "Tc", "Tc"],
  "frac_coords": [[0.621, 0.750, 0.334], [0.379, 0.250, 0.666], [0.392, 0.750, 0.855], [0.608, 0.250, 0.145], [0.874, 0.982, 0.849], [0.126, 0.018, 0.151], [0.874, 0.518, 0.849], [0.126, 0.482, 0.151], [0.127, 0.750, 0.508], [0.873, 0.250, 0.492]]
}

=====

Record 8
{
  "formula": "Pa3Ga5Tc2",
  "functional": "PBE",
  "state": "optimized geometry",
  "e_form_kj_per_mol_atoms": -20.2,
  "crystal_system": "orthorhombic",
  "dft_energy_ev_per_fu": -66.5,
  "density_g_cm3": 10.3,
  "lattice_angstrom": [[6.112, 0.000, 0.000], [3.056, 8.031, -0.892], [3.056, 1.272, 7.980]],
  "species": ["Pa", "Pa", "Pa", "Pa", "Pa", "Pa", "Ga", "Ga", "Ga", "Ga", "Ga", "Ga", "Ga", "Ga", "Ga", "Ga", "Tc", "Tc", "Tc", "Tc"],
  "frac_coords": [[0.250, 0.000, 0.000], [0.750, 0.000, 0.000], [0.354, 0.396, 0.895], [0.646, 0.604, 0.105], [0.854, 0.895, 0.396], [0.146, 0.105, 0.604], [0.250, 0.500, 0.500], [0.750, 0.500, 0.500], [0.515, 0.735, 0.735], [0.985, 0.265, 0.265], [0.485, 0.265, 0.265], [0.015, 0.735, 0.735], [0.105, 0.540, 0.250], [0.895, 0.460, 0.750], [0.605, 0.250, 0.540], [0.395, 0.750, 0.460], [0.144, 0.717, 0.995], [0.856, 0.283, 0.005], [0.644, 0.995, 0.717], [0.356, 0.005, 0.283]]
}